# PBE Ac4DyTe5, relaxed
# E above lowest polymorph, meV/atom: 13
# E_form (uncorrected), eV per atom: -1.429
# V, Å³/atom: 35.76
# Size of the total moment, μB per atom: 0.000
data_Ac4DyTe5
_chemical_formula_sum 'Ac4 Dy1 Te5'
_space_group_name_H-M_alt 'P 1'
_space_group_IT_number 1
_space_group_name_Hall 'P 1'
_cell_length_a 8.0639
_cell_length_b 8.0639
_cell_length_c 8.0639
_cell_angle_alpha 99.67
_cell_angle_beta 99.67
_cell_angle_gamma 131.62
loop_
_atom_site_label
_atom_site_type_symbol
_atom_site_fract_x
_atom_site_fract_y
_atom_site_fract_z
_atom_site_occupancy
Ac1 Ac 0.0913 0.6930 0.7843 1
Ac2 Ac 0.3070 0.0913 0.3984 1
Ac3 Ac 0.6930 0.9087 0.6016 1
Ac4 Ac 0.9087 0.3070 0.2157 1
Dy1 Dy 0.4985 0.4985 0.0000 1
Te1 Te 0.2186 0.3992 0.6179 1
Te2 Te 0.3992 0.7814 0.1807 1
Te3 Te 0.6007 0.2186 0.8193 1
Te4 Te 0.7814 0.6007 0.3821 1
Te5 Te 0.9990 0.9990 0.0000 1